A plane-wave DFT calculation with PBE was carried out for crystalline PmPr6Al2 at its relaxed geometry.

Results
ΔE to the lowest computed polymorph (eV/atom): 0.444
Energy of formation (meV per atom): 314
Symmetry: P4_2/mnm (136)

Cell lengths 7.9925, 7.9925, 10.9009 Å; angles 90.00, 90.00, 90.00 degrees
Atoms (fractional coordinates):
Pm (0.0000, 0.0000, 0.0000)
Pm (0.5000, 0.5000, 0.5000)
Pr (0.1905, 0.1905, 0.5000)
Pr (0.2421, 0.2421, 0.1771)
Pr (0.2421, 0.2421, 0.8229)
Pr (0.2579, 0.7421, 0.3229)
Pr (0.2579, 0.7421, 0.6771)
Pr (0.3095, 0.6905, 0.0000)
Pr (0.6905, 0.3095, 0.0000)
Pr (0.7421, 0.2579, 0.3229)
Pr (0.7421, 0.2579, 0.6771)
Pr (0.7579, 0.7579, 0.1771)
Pr (0.7579, 0.7579, 0.8229)
Pr (0.8095, 0.8095, 0.5000)
Al (0.0000, 0.0000, 0.2963)
Al (0.0000, 0.0000, 0.7037)
Al (0.5000, 0.5000, 0.2037)
Al (0.5000, 0.5000, 0.7963)

A plane-wave DFT calculation with PBE was carried out for crystalline V4TcIr5 at its relaxed geometry.

Results
Energy of formation (meV per atom): -433
Symmetry: P4/mmm (123)

Cell lengths 2.7373, 2.7373, 18.7373 Å; angles 90.00, 90.00, 90.00 degrees
Atoms (fractional coordinates):
V (0.0000, 0.0000, 0.0989)
V (0.0000, 0.0000, 0.2960)
V (0.0000, 0.0000, 0.7040)
V (0.0000, 0.0000, 0.9011)
Tc (0.0000, 0.0000, 0.5000)
Ir (0.5000, 0.5000, 0.0000)
Ir (0.5000, 0.5000, 0.1973)
Ir (0.5000, 0.5000, 0.3969)
Ir (0.5000, 0.5000, 0.6031)
Ir (0.5000, 0.5000, 0.8027)

A plane-wave DFT calculation with PBE was carried out for crystalline Pm8Sn2Bi at its relaxed geometry.

Results
Energy of formation (meV per atom): -400
Symmetry: C2/m (12)

Cell lengths 10.4042, 10.4042, 7.2693 Å; angles 101.08, 101.08, 28.07 degrees
Atoms (fractional coordinates):
Pm (0.0246, 0.0246, 0.2566)
Pm (0.2155, 0.2155, 0.8406)
Pm (0.3379, 0.3379, 0.4873)
Pm (0.4034, 0.4034, 0.0145)
Pm (0.5966, 0.5966, 0.9855)
Pm (0.6621, 0.6621, 0.5127)
Pm (0.7845, 0.7845, 0.1594)
Pm (0.9754, 0.9754, 0.7434)
Sn (0.1832, 0.1832, 0.2630)
Sn (0.8168, 0.8168, 0.7370)
Bi (0.5000, 0.5000, 0.5000)

A plane-wave DFT calculation with PBE was carried out for crystalline Sm4MgZn2Pd at its relaxed geometry.

Results
Energy of formation (meV per atom): -383
Symmetry: R-3m (166)

Cell lengths 8.9944, 8.9944, 8.9944 Å; angles 33.57, 33.57, 33.57 degrees
Atoms (fractional coordinates):
Sm (0.1175, 0.1175, 0.1175)
Sm (0.3701, 0.3701, 0.3701)
Sm (0.6299, 0.6299, 0.6299)
Sm (0.8825, 0.8825, 0.8825)
Mg (0.5000, 0.5000, 0.5000)
Zn (0.2395, 0.2395, 0.2395)
Zn (0.7605, 0.7605, 0.7605)
Pd (0.0000, 0.0000, 0.0000)

A plane-wave DFT calculation with PBE was carried out for crystalline Pr2Hg4Pb at its relaxed geometry.

Results
ΔE to the lowest computed polymorph (eV/atom): 0.000
Energy of formation (meV per atom): -361
Symmetry: R-3m (166)

Cell lengths 8.5270, 8.5270, 8.5270 Å; angles 36.25, 36.25, 36.25 degrees
Atoms (fractional coordinates):
Pr (0.2275, 0.2275, 0.2275)
Pr (0.7725, 0.7725, 0.7725)
Hg (0.0672, 0.0672, 0.0672)
Hg (0.3641, 0.3641, 0.3641)
Hg (0.6359, 0.6359, 0.6359)
Hg (0.9328, 0.9328, 0.9328)
Pb (0.5000, 0.5000, 0.5000)

A plane-wave DFT calculation with PBE was carried out for crystalline KLaCd2Pd at its relaxed geometry.

Results
Energy of formation (meV per atom): 1118
Symmetry: P4/mmm (123)

Cell lengths 5.3982, 5.3982, 6.0266 Å; angles 90.00, 90.00, 90.00 degrees
Atoms (fractional coordinates):
K (0.0000, 0.0000, 0.0000)
La (0.0000, 0.0000, 0.5000)
Cd (0.0000, 0.5000, 0.0000)
Cd (0.5000, 0.0000, 0.0000)
Pd (0.5000, 0.5000, 0.5000)

A plane-wave DFT calculation with PBE was carried out for crystalline CaAl3Sn at its relaxed geometry.

Results
ΔE to the lowest computed polymorph (eV/atom): 0.566
Energy of formation (meV per atom): 1096
Symmetry: Pm-3m (221)

Cell lengths 5.5042, 5.5042, 5.5042 Å; angles 90.00, 90.00, 90.00 degrees
Atoms (fractional coordinates):
Ca (0.0000, 0.0000, 0.0000)
Al (0.0000, 0.0000, 0.5000)
Al (0.0000, 0.5000, 0.0000)
Al (0.5000, 0.0000, 0.0000)
Sn (0.5000, 0.5000, 0.5000)

A plane-wave DFT calculation with PBE was carried out for crystalline La4SmCu5 at its relaxed geometry.

Results
Energy of formation (meV per atom): -143
Symmetry: P4/mmm (123)

Cell lengths 3.6122, 3.6122, 18.3791 Å; angles 90.00, 90.00, 90.00 degrees
Atoms (fractional coordinates):
La (0.0000, 0.0000, 0.1009)
La (0.0000, 0.0000, 0.3033)
La (0.0000, 0.0000, 0.6967)
La (0.0000, 0.0000, 0.8991)
Sm (0.0000, 0.0000, 0.5000)
Cu (0.5000, 0.5000, 0.0000)
Cu (0.5000, 0.5000, 0.2018)
Cu (0.5000, 0.5000, 0.4088)
Cu (0.5000, 0.5000, 0.5912)
Cu (0.5000, 0.5000, 0.7982)

A plane-wave DFT calculation with PBE was carried out for crystalline TbSmTh at its relaxed geometry.

Results
ΔE to the lowest computed polymorph (eV/atom): 0.005
Energy of formation (meV per atom): 27
Symmetry: I4mm (107)

Cell lengths 7.9806, 7.9806, 7.9806 Å; angles 153.89, 153.89, 37.26 degrees
Atoms (fractional coordinates):
Tb (0.0000, 0.0000, 0.0000)
Sm (0.6803, 0.6803, 0.0000)
Th (0.3416, 0.3416, 0.0000)

A plane-wave DFT calculation with PBE was carried out for crystalline Ag4Ir at its relaxed geometry.

Results
ΔE to the lowest computed polymorph (eV/atom): 0.000
Energy of formation (meV per atom): 342
Symmetry: I4/m (87)

Cell lengths 4.9883, 4.9883, 4.9883 Å; angles 99.99, 99.99, 130.78 degrees
Atoms (fractional coordinates):
Ag (0.1026, 0.2967, 0.3994)
Ag (0.2967, 0.8974, 0.1941)
Ag (0.7033, 0.1026, 0.8059)
Ag (0.8974, 0.7033, 0.6006)
Ir (0.5000, 0.5000, 0.0000)

A plane-wave DFT calculation with PBE was carried out for crystalline YHo2Tl at its relaxed geometry.

Results
ΔE to the lowest computed polymorph (eV/atom): 0.028
Energy of formation (meV per atom): -166
Symmetry: P4/mmm (123)

Cell lengths 3.6173, 3.6173, 9.1142 Å; angles 90.00, 90.00, 90.00 degrees
Atoms (fractional coordinates):
Y (0.0000, 0.0000, 0.0000)
Ho (0.5000, 0.5000, 0.2724)
Ho (0.5000, 0.5000, 0.7276)
Tl (0.0000, 0.0000, 0.5000)

A plane-wave DFT calculation with PBE was carried out for crystalline K2LaSb at its relaxed geometry.

Results
Formation energy (no corrections) (meV per atom): -338
Symmetry: Cm (8)

Cell lengths 4.8191, 4.8191, 11.5631 Å; angles 101.66, 101.66, 59.91 degrees
Atoms (fractional coordinates):
K (0.0000, 0.0000, 0.0000)
K (0.2101, 0.2101, 0.6417)
La (0.4369, 0.4369, 0.3198)
Sb (0.7294, 0.7294, 0.1944)

A plane-wave DFT calculation with PBE was carried out for crystalline Pr2ErTm at its relaxed geometry.

Results
ΔE to the lowest computed polymorph (eV/atom): 0.011
Energy of formation (meV per atom): 28
Symmetry: R3m (160)

Cell lengths 11.8645, 11.8645, 11.8645 Å; angles 17.56, 17.56, 17.56 degrees
Atoms (fractional coordinates):
Pr (0.0000, 0.0000, 0.0000)
Pr (0.1664, 0.1664, 0.1664)
Er (0.7502, 0.7502, 0.7502)
Tm (0.5824, 0.5824, 0.5824)

A plane-wave DFT calculation with PBE was carried out for crystalline Na2Ga3Sb2 at its relaxed geometry.

Results
Formation energy (no corrections) (meV per atom): -159
Symmetry: C2/m (12)

Cell lengths 6.0262, 6.0262, 7.2242 Å; angles 105.59, 105.59, 44.45 degrees
Atoms (fractional coordinates):
Na (0.1346, 0.1346, 0.2905)
Na (0.8654, 0.8654, 0.7095)
Ga (0.4022, 0.4022, 0.0660)
Ga (0.5000, 0.5000, 0.5000)
Ga (0.5978, 0.5978, 0.9340)
Sb (0.1705, 0.1705, 0.7583)
Sb (0.8295, 0.8295, 0.2417)

A plane-wave DFT calculation with PBE was carried out for crystalline KCr2Co at its relaxed geometry.

Results
ΔE to the lowest computed polymorph (eV/atom): 0.568
Energy of formation (meV per atom): 1325
Symmetry: Pmmm (47)

Cell lengths 2.9490, 4.9459, 5.0967 Å; angles 90.00, 90.00, 90.00 degrees
Atoms (fractional coordinates):
K (0.0000, 0.0000, 0.0000)
Cr (0.0000, 0.5000, 0.5000)
Cr (0.5000, 0.0000, 0.5000)
Co (0.5000, 0.5000, 0.0000)

A plane-wave DFT calculation with PBE was carried out for crystalline Pu2Cd3In3 at its relaxed geometry.

Results
Energy of formation (meV per atom): 27
Symmetry: R32 (155)

Cell lengths 5.9914, 5.9914, 5.9914 Å; angles 96.59, 96.59, 96.59 degrees
Atoms (fractional coordinates):
Pu (0.1940, 0.1940, 0.1940)
Pu (0.8060, 0.8060, 0.8060)
Cd (0.2520, 0.5000, 0.7480)
Cd (0.5000, 0.7480, 0.2520)
Cd (0.7480, 0.2520, 0.5000)
In (0.0000, 0.6879, 0.3121)
In (0.3121, 0.0000, 0.6879)
In (0.6879, 0.3121, 0.0000)

A plane-wave DFT calculation with PBE was carried out for crystalline TbNdSc2Se4 at its relaxed geometry.

Results
Formation energy (no corrections) (meV per atom): -1685
Symmetry: P2/m (10)

Cell lengths 6.9309, 3.9678, 7.0635 Å; angles 90.00, 108.84, 90.00 degrees
Atoms (fractional coordinates):
Tb (0.0000, 0.0000, 0.0000)
Nd (0.5000, 0.5000, 0.0000)
Sc (0.0000, 0.5000, 0.5000)
Sc (0.5000, 0.0000, 0.5000)
Se (0.2362, 0.0000, 0.7247)
Se (0.2519, 0.5000, 0.2714)
Se (0.7481, 0.5000, 0.7286)
Se (0.7638, 0.0000, 0.2753)

A plane-wave DFT calculation with PBE was carried out for crystalline Ta2NbCoH at its relaxed geometry.

Results
ΔE to the lowest computed polymorph (eV/atom): 0.150
Symmetry: P4/mmm (123)

Cell lengths 4.3716, 4.3716, 3.5909 Å; angles 90.00, 90.00, 90.00 degrees
Atoms (fractional coordinates):
Ta (0.0000, 0.5000, 0.0000)
Ta (0.5000, 0.0000, 0.0000)
Nb (0.0000, 0.0000, 0.5000)
Co (0.5000, 0.5000, 0.5000)
H (0.0000, 0.0000, 0.0000)

A plane-wave DFT calculation with PBE was carried out for crystalline Hg2Sb2Pb at its relaxed geometry.

Results
Formation energy (no corrections) (meV per atom): 149
ΔE to the lowest computed polymorph (eV/atom): 0.021
Symmetry: P4/mbm (127)

Cell lengths 8.9935, 8.9935, 3.4884 Å; angles 90.00, 90.00, 90.00 degrees
Atoms (fractional coordinates):
Hg (0.1281, 0.3719, 0.0000)
Hg (0.3719, 0.8719, 0.0000)
Hg (0.6281, 0.1281, 0.0000)
Hg (0.8719, 0.6281, 0.0000)
Sb (0.1741, 0.6741, 0.5000)
Sb (0.3259, 0.1741, 0.5000)
Sb (0.6741, 0.8259, 0.5000)
Sb (0.8259, 0.3259, 0.5000)
Pb (0.0000, 0.0000, 0.5000)
Pb (0.5000, 0.5000, 0.5000)

A plane-wave DFT calculation with PBE was carried out for crystalline CsAgSb3 at its relaxed geometry.

Results
Formation energy (no corrections) (meV per atom): 251
ΔE to the lowest computed polymorph (eV/atom): 0.000
Symmetry: Pm-3m (221)

Cell lengths 5.5981, 5.5981, 5.5981 Å; angles 90.00, 90.00, 90.00 degrees
Atoms (fractional coordinates):
Cs (0.0000, 0.0000, 0.0000)
Ag (0.5000, 0.5000, 0.5000)
Sb (0.0000, 0.5000, 0.5000)
Sb (0.5000, 0.0000, 0.5000)
Sb (0.5000, 0.5000, 0.0000)

A plane-wave DFT calculation with PBE was carried out for crystalline Ba2MnBe at its relaxed geometry.

Results
Energy of formation (meV per atom): 755
Symmetry: I-4m2 (119)

Cell lengths 5.4594, 5.4594, 5.4594 Å; angles 120.08, 120.08, 89.87 degrees
Atoms (fractional coordinates):
Ba (0.0000, 0.0000, 0.0000)
Ba (0.7500, 0.2500, 0.5000)
Mn (0.5000, 0.5000, 0.0000)
Be (0.2500, 0.7500, 0.5000)

A plane-wave DFT calculation with PBE was carried out for crystalline Cs3NiBr6 at its relaxed geometry.

Results
Formation energy (no corrections) (meV per atom): -1122
ΔE to the lowest computed polymorph (eV/atom): 0.009
Symmetry: R-3 (148)

Cell lengths 9.3993, 9.3993, 9.3993 Å; angles 90.25, 90.25, 90.25 degrees
Atoms (fractional coordinates):
Cs (0.0375, 0.5694, 0.7219)
Cs (0.2781, 0.9625, 0.4306)
Cs (0.4306, 0.2781, 0.9625)
Cs (0.5694, 0.7219, 0.0375)
Cs (0.7219, 0.0375, 0.5694)
Cs (0.9625, 0.4306, 0.2781)
Ni (0.0000, 0.0000, 0.0000)
Ni (0.5000, 0.5000, 0.5000)
Br (0.0442, 0.9515, 0.7398)
Br (0.0485, 0.2602, 0.9558)
Br (0.2602, 0.9558, 0.0485)
Br (0.3195, 0.3259, 0.5861)
Br (0.3259, 0.5861, 0.3195)
Br (0.4139, 0.6805, 0.6741)
Br (0.5861, 0.3195, 0.3259)
Br (0.6741, 0.4139, 0.6805)
Br (0.6805, 0.6741, 0.4139)
Br (0.7398, 0.0442, 0.9515)
Br (0.9515, 0.7398, 0.0442)
Br (0.9558, 0.0485, 0.2602)

A plane-wave DFT calculation with PBE was carried out for crystalline AcPmNdMg at its relaxed geometry.

Results
ΔE to the lowest computed polymorph (eV/atom): 0.129
Energy of formation (meV per atom): 93
Symmetry: F-43m (216)

Cell lengths 5.7984, 5.7984, 5.7984 Å; angles 60.00, 60.00, 60.00 degrees
Atoms (fractional coordinates):
Ac (0.0000, 0.0000, 0.0000)
Pm (0.2500, 0.2500, 0.2500)
Nd (0.7500, 0.7500, 0.7500)
Mg (0.5000, 0.5000, 0.5000)

A plane-wave DFT calculation with PBE was carried out for crystalline KIn3Hg4 at its relaxed geometry.

Results
Energy of formation (meV per atom): -78
Symmetry: P4/mmm (123)

Cell lengths 5.2127, 5.2127, 8.9349 Å; angles 90.00, 90.00, 90.00 degrees
Atoms (fractional coordinates):
K (0.0000, 0.0000, 0.0000)
In (0.0000, 0.0000, 0.5000)
In (0.5000, 0.5000, 0.1648)
In (0.5000, 0.5000, 0.8352)
Hg (0.0000, 0.5000, 0.3192)
Hg (0.0000, 0.5000, 0.6808)
Hg (0.5000, 0.0000, 0.3192)
Hg (0.5000, 0.0000, 0.6808)

A plane-wave DFT calculation with PBE was carried out for crystalline Na2CoBMo at its relaxed geometry.

Results
Energy of formation (meV per atom): 2172
Symmetry: P4/mmm (123)

Cell lengths 5.6784, 5.6784, 4.2515 Å; angles 90.00, 90.00, 90.00 degrees
Atoms (fractional coordinates):
Na (0.0000, 0.5000, 0.0000)
Na (0.5000, 0.0000, 0.0000)
Co (0.0000, 0.0000, 0.5000)
B (0.5000, 0.5000, 0.5000)
Mo (0.0000, 0.0000, 0.0000)